# Ba2AcGa4 (PBE, optimized geometry)
data_Ba2AcGa4
_symmetry_space_group_name_H-M 'C 1 2/c 1'
_symmetry_Int_Tables_number 15
_symmetry_space_group_name_Hall '-C 2yc'
_cell_length_a 19.042
_cell_length_b 6.621
_cell_length_c 6.546
_cell_angle_alpha 90.00
_cell_angle_beta 94.25
_cell_angle_gamma 90.00
loop_
_atom_site_label
_atom_site_fract_x
_atom_site_fract_y
_atom_site_fract_z
Ba1 0.196 0.089 0.192
Ac1 0.000 0.254 0.250
Ga1 0.068 0.262 0.776
Ga2 0.142 0.464 0.515
# Magnetic moment = 0.0 μB/f.u.


# BaAcGa2 (PBE, optimized geometry)
data_BaAcGa2
_symmetry_space_group_name_H-M 'P 4/m m m'
_symmetry_Int_Tables_number 123
_symmetry_space_group_name_Hall '-P 4 2'
_cell_length_a 4.028
_cell_length_b 4.028
_cell_length_c 8.003
_cell_angle_alpha 90.00
_cell_angle_beta 90.00
_cell_angle_gamma 90.00
loop_
_atom_site_label
_atom_site_fract_x
_atom_site_fract_y
_atom_site_fract_z
Ba1 0.000 0.000 0.000
Ac1 0.000 0.000 0.500
Ga1 0.500 0.500 0.278
# Magnetic moment = 0.0 μB/f.u.


| no. | DFT formation energy (eV/atom) | Fermi-level density of states (states/eV per cell) |
| --- | --- | --- |
| 1 | -0.366 | 17.6 |
| 2 | -0.375 | 3.2 |